Entry from OQMD via LeMat-Bulk: crystalline Zr2Co3Mo4N3 at its relaxed geometry (GGA-PBE).

Values from the calculation:
**Calculated total energy**: -445.840 eV for the cell shown

abc: 8.9394 5.2046 13.3635
angles: 90.00 102.74 90.00
Space group C2/c (No. 15)
One atom of each set of equivalent atoms:
Zr: 0.0412 0.0816 0.3750 [8 per cell]
Co: 0.0000 0.3945 0.7500 [4 per cell]
Co: 0.2431 0.3319 0.2508 [8 per cell]
Mo: 0.1126 0.4260 0.5892 [8 per cell]
Mo: 0.2160 0.4170 0.9103 [8 per cell]
N: 0.0772 0.2273 0.0005 [8 per cell]
N: 0.2500 0.2500 0.5000 [4 per cell]

=====

Entry from OQMD via LeMat-Bulk: crystalline NaCoMo at its relaxed geometry (GGA-PBE).

Values from the calculation:
**E above lowest polymorph**: 0 meV/atom

abc: 5.8460 5.8460 5.8460
angles: 90.00 90.00 90.00
Space group F-43m (No. 216)
One atom of each set of equivalent atoms:
Na: 0.0000 0.0000 0.0000 [4 per cell]
Co: 0.2500 0.2500 0.7500 [4 per cell]
Mo: 0.0000 0.0000 0.5000 [4 per cell]

=====

Entry from OQMD via LeMat-Bulk: crystalline Nb2CoMo at its relaxed geometry (GGA-PBE).

Values from the calculation:
**ΔH_f (0 K)**: 104 meV per atom

abc: 6.3072 6.3072 6.3072
angles: 90.00 90.00 90.00
Space group F-43m (No. 216)
One atom of each set of equivalent atoms:
Nb: 0.0000 0.0000 0.0000 [4 per cell]
Nb: 0.2500 0.2500 0.2500 [4 per cell]
Co: 0.0000 0.0000 0.5000 [4 per cell]
Mo: 0.2500 0.2500 0.7500 [4 per cell]